# 1
Cd2In9Sn | PBE | optimized geometry

Computed properties:
* calculated total energy: -30.108 eV/cell
* Fermi-level density of states: 4.5 states/eV/cell
* SG: P4/mmm (123)

Cell: 4.4886 4.4886 15.8416 Å, 90.00 90.00 90.00°
With the nearest neighbours (Å) after each atom.
Atoms (fractional coordinates):
In 0.5000 0.0000 0.5000  8 In 3.17-3.45, 4 Cd 3.44
In 0.5000 0.0000 0.8306  8 In 3.17-3.50, 2 Cd 3.46, 2 Sn 3.50
In 0.5000 0.5000 0.0000  4 Sn 3.17, 8 In 3.50
In 0.5000 0.5000 0.6655  4 Cd 3.17, 8 In 3.45
In 0.0000 0.5000 0.8306  8 In 3.17-3.50, 2 Cd 3.46, 2 Sn 3.50
In 0.0000 0.5000 0.5000  8 In 3.17-3.45, 4 Cd 3.44
In 0.0000 0.5000 0.1694  8 In 3.17-3.50, 2 Cd 3.46, 2 Sn 3.50
In 0.5000 0.5000 0.3345  4 Cd 3.17, 8 In 3.45
In 0.5000 0.0000 0.1694  8 In 3.17-3.50, 2 Cd 3.46, 2 Sn 3.50
Cd 0.0000 0.0000 0.6642  12 In 3.17-3.46
Cd 0.0000 0.0000 0.3358  12 In 3.17-3.46
Sn 0.0000 0.0000 0.0000  12 In 3.17-3.50


# 2
Cd6In12Sn | PBE | optimized geometry

Computed properties:
* E above lowest polymorph: 1.24 kcal/mol of atoms
* Fermi-level density of states: 7.6 states/eV/cell
* SG: R-3m (166)

Cell: 8.9418 8.9418 8.9418 Å, 109.41 109.41 109.41°
With the nearest neighbours (Å) after each atom.
Atoms (fractional coordinates):
Cd 0.1675 0.3954 0.1675  1 Sn 2.91, 5 In 3.02-3.11
Cd 0.6046 0.8325 0.8325  1 Sn 2.91, 5 In 3.02-3.11
Cd 0.8325 0.8325 0.6046  1 Sn 2.91, 5 In 3.02-3.11
Cd 0.1675 0.1675 0.3954  1 Sn 2.91, 5 In 3.02-3.11
Cd 0.8325 0.6046 0.8325  1 Sn 2.91, 5 In 3.02-3.11
Cd 0.3954 0.1675 0.1675  1 Sn 2.91, 5 In 3.02-3.11
In 0.1948 0.5484 0.5484  5 In 3.02-3.30, 3 Cd 3.11
In 0.5000 0.8738 0.1262  2 Cd 3.02, 4 In 3.16-3.30
In 0.4516 0.4516 0.8052  5 In 3.02-3.30, 3 Cd 3.11
In 0.1262 0.8738 0.5000  2 Cd 3.02, 4 In 3.16-3.30
In 0.5484 0.1948 0.5484  5 In 3.02-3.30, 3 Cd 3.11
In 0.8738 0.5000 0.1262  2 Cd 3.02, 4 In 3.16-3.30
In 0.4516 0.8052 0.4516  5 In 3.02-3.30, 3 Cd 3.11
In 0.8052 0.4516 0.4516  5 In 3.02-3.30, 3 Cd 3.11
In 0.5484 0.5484 0.1948  5 In 3.02-3.30, 3 Cd 3.11
In 0.8738 0.1262 0.5000  2 Cd 3.02, 4 In 3.16-3.30
In 0.1262 0.5000 0.8738  2 Cd 3.02, 4 In 3.16-3.30
In 0.5000 0.1262 0.8738  2 Cd 3.02, 4 In 3.16-3.30
Sn 0.0000 0.0000 0.0000  6 Cd 2.91


# 3
CdIn2Sn4 | PBE | optimized geometry

Computed properties:
* calculated total energy: -21.764 eV/cell
* Fermi-level density of states: 3.8 states/eV/cell
* SG: R-3m (166)

Cell: 4.5447 4.5447 11.7045 Å, 78.81 78.81 60.00°
With the nearest neighbours (Å) after each atom.
Atoms (fractional coordinates):
Sn 0.8561 0.8561 0.4317  3 Sn 3.05, 4 In 3.21-3.40
Sn 0.3760 0.3760 0.8721  3 Cd 3.00, 3 In 3.08
Sn 0.1439 0.1439 0.5683  3 Sn 3.05, 4 In 3.21-3.40
Sn 0.6240 0.6240 0.1279  3 Cd 3.00, 3 In 3.08
In 0.2434 0.2434 0.2699  7 Sn 3.08-3.40
In 0.7566 0.7566 0.7301  7 Sn 3.08-3.40
Cd 0.0000 0.0000 0.0000  6 Sn 3.00


# 4
Cd8In2Sn | PBE | optimized geometry

Computed properties:
* E above lowest polymorph: 0.00 kcal/mol of atoms
* Fermi-level density of states: 3.8 states/eV/cell
* SG: C2/m (12)

Cell: 4.9473 8.5310 8.5641 Å, 60.13 77.31 63.83°
With the nearest neighbours (Å) after each atom.
Atoms (fractional coordinates):
Sn 0.5000 0.0000 0.0000  8 Cd 3.09-3.39
In 0.0000 0.3163 0.3674  6 Cd 2.94-3.09
In 0.0000 0.6837 0.6326  6 Cd 2.94-3.09
Cd 0.8544 0.3249 0.7620  4 Cd 2.98-3.27, 2 In 3.05-3.33
Cd 0.3251 0.3957 0.0000  4 Cd 2.91-2.98, 2 In 3.09, 1 Sn 3.09
Cd 0.8544 0.0869 0.2380  4 Cd 2.98-3.27, 2 In 3.05-3.33
Cd 0.1456 0.9131 0.7620  4 Cd 2.98-3.27, 2 In 3.05-3.33
Cd 0.1456 0.6751 0.2380  4 Cd 2.98-3.27, 2 In 3.05-3.33
Cd 0.5000 0.7909 0.4182  2 In 2.94, 1 Sn 3.11, 4 Cd 3.18-3.27
Cd 0.5000 0.2091 0.5818  2 In 2.94, 1 Sn 3.11, 4 Cd 3.18-3.27
Cd 0.6749 0.6043 0.0000  4 Cd 2.91-2.98, 2 In 3.09, 1 Sn 3.09


- What is the formula in the first record?
  Cd2In9Sn


- What is the formula in the third record?
  CdIn2Sn4


- Which of these has the highest Fermi-level density of states?
  Cd6In12Sn